[1]
First-principles (PBE) data for a geometry-optimized KTl2As2O6 structure, as listed in the Alexandria database.

```
KTl2As2O6
1.0
5.163 -3.415 0.000
5.163 3.415 0.000
-2.841 0.000 6.516
K Tl As O
1 2 2 6
Direct
0.000 0.000 0.000 K
0.185 0.185 0.635 Tl
0.815 0.815 0.365 Tl
0.463 0.463 0.168 As
0.537 0.537 0.832 As
0.244 0.662 0.715 O
0.284 0.284 0.059 O
0.338 0.756 0.285 O
0.662 0.244 0.715 O
0.716 0.716 0.941 O
0.756 0.338 0.285 O
```

Calculated values
Uncorrected formation energy in meV/atom: -1060

=====

[2]
First-principles (PBE) data for a geometry-optimized KTl2As2O7 structure, as listed in the Alexandria database.

```
KTl2As2O7
1.0
2.925 1.689 8.035
-2.925 1.689 8.035
0.000 -3.377 8.035
K Tl As O
1 2 2 7
Direct
0.000 0.000 0.000 K
0.204 0.204 0.204 Tl
0.796 0.796 0.796 Tl
0.426 0.426 0.426 As
0.574 0.574 0.574 As
0.114 0.432 0.676 O
0.324 0.568 0.886 O
0.432 0.676 0.114 O
0.500 0.500 0.500 O
0.568 0.886 0.324 O
0.676 0.114 0.432 O
0.886 0.324 0.568 O
```

Calculated values
Uncorrected formation energy in meV/atom: -1152

=====

[3]
First-principles (PBE) data for a geometry-optimized K2TlAs2O6 structure, as listed in the Alexandria database.

```
K2TlAs2O6
1.0
3.053 1.763 6.706
-3.053 1.763 6.706
0.000 -3.525 6.706
K Tl As O
2 1 2 6
Direct
0.205 0.205 0.205 K
0.795 0.795 0.795 K
0.000 0.000 0.000 Tl
0.438 0.438 0.438 As
0.562 0.562 0.562 As
0.261 0.261 0.738 O
0.261 0.738 0.261 O
0.262 0.739 0.739 O
0.738 0.261 0.261 O
0.739 0.262 0.739 O
0.739 0.739 0.262 O
```

Calculated values
Uncorrected formation energy in meV/atom: -1273

=====

[4]
First-principles (PBE) data for a geometry-optimized KTlAs2O8 structure, as listed in the Alexandria database.

```
KTlAs2O8
1.0
2.659 1.535 8.165
-2.659 1.535 8.165
0.000 -3.070 8.165
K Tl As O
1 1 2 8
Direct
0.000 0.000 0.000 K
0.500 0.500 0.500 Tl
0.242 0.242 0.242 As
0.758 0.758 0.758 As
0.091 0.467 0.773 O
0.227 0.533 0.909 O
0.313 0.313 0.313 O
0.467 0.773 0.091 O
0.533 0.909 0.227 O
0.687 0.687 0.687 O
0.773 0.091 0.467 O
0.909 0.227 0.533 O
```

Calculated values
Uncorrected formation energy in meV/atom: -906

=====

[5]
First-principles (PBE) data for a geometry-optimized K2Tl2AsO4 structure, as listed in the Alexandria database.

```
K2Tl2AsO4
1.0
-3.154 3.154 4.352
3.154 -3.154 4.352
3.154 3.154 -4.352
K Tl As O
2 2 1 4
Direct
0.153 0.153 0.000 K
0.847 0.847 0.000 K
0.250 0.750 0.500 Tl
0.750 0.250 0.500 Tl
0.500 0.500 0.000 As
0.289 0.289 0.578 O
0.289 0.711 0.000 O
0.711 0.289 0.000 O
0.711 0.711 0.422 O
```

Calculated values
Uncorrected formation energy in meV/atom: -651

=====

[6]
First-principles (PBE) data for a geometry-optimized KTmAs2O6 structure, as listed in the Alexandria database.

```
KTmAs2O6
1.0
2.865 1.654 5.939
-2.865 1.654 5.939
0.000 -3.308 5.939
K Tm As O
1 1 2 6
Direct
0.000 0.000 0.000 K
0.500 0.500 0.500 Tm
0.267 0.267 0.267 As
0.733 0.733 0.733 As
0.075 0.706 0.506 O
0.294 0.494 0.925 O
0.494 0.925 0.294 O
0.506 0.075 0.706 O
0.706 0.506 0.075 O
0.925 0.294 0.494 O
```

Calculated values
Uncorrected formation energy in meV/atom: -1801

=====

[7]
First-principles (PBE) data for a geometry-optimized K3TmAs2O8 structure, as listed in the Alexandria database.

```
K3TmAs2O8
1.0
5.883 0.000 0.000
-2.942 5.095 0.000
0.000 0.000 7.706
K Tm As O
3 1 2 8
Direct
0.000 0.000 0.000 K
0.333 0.667 0.698 K
0.667 0.333 0.302 K
0.000 0.000 0.500 Tm
0.333 0.667 0.246 As
0.667 0.333 0.754 As
0.175 0.351 0.330 O
0.175 0.825 0.330 O
0.333 0.667 0.028 O
0.351 0.175 0.670 O
0.649 0.825 0.330 O
0.667 0.333 0.972 O
0.825 0.175 0.670 O
0.825 0.649 0.670 O
```

Calculated values
Uncorrected formation energy in meV/atom: -2028

=====

[8]
First-principles (PBE) data for a geometry-optimized K2TmAs2O6 structure, as listed in the Alexandria database.

```
K2TmAs2O6
1.0
4.910 -2.971 0.000
4.910 2.971 0.000
-3.096 0.000 6.443
K Tm As O
2 1 2 6
Direct
0.208 0.208 0.174 K
0.792 0.792 0.826 K
0.000 0.000 0.500 Tm
0.433 0.433 0.778 As
0.567 0.567 0.222 As
0.235 0.710 0.258 O
0.246 0.246 0.584 O
0.290 0.765 0.742 O
0.710 0.235 0.258 O
0.754 0.754 0.416 O
0.765 0.290 0.742 O
```

Calculated values
Uncorrected formation energy in meV/atom: -1947

=====

[9]
First-principles (PBE) data for a geometry-optimized K2UAs2O9 structure, as listed in the Alexandria database.

```
K2UAs2O9
1.0
12.678 0.000 0.000
0.000 13.546 0.000
0.000 0.000 5.811
K U As O
8 4 8 36
Direct
0.079 0.250 0.026 K
0.250 0.584 0.997 K
0.250 0.916 0.997 K
0.421 0.250 0.026 K
0.579 0.750 0.974 K
0.750 0.084 0.003 K
0.750 0.416 0.003 K
0.921 0.750 0.974 K
0.000 0.000 0.500 U
0.000 0.500 0.500 U
0.500 0.000 0.500 U
0.500 0.500 0.500 U
0.120 0.750 0.503 As
0.250 0.131 0.536 As
0.250 0.369 0.536 As
0.380 0.750 0.503 As
0.620 0.250 0.497 As
0.750 0.631 0.464 As
0.750 0.869 0.464 As
0.880 0.250 0.497 As
0.063 0.649 0.636 O
0.063 0.851 0.636 O
0.074 0.517 0.234 O
0.074 0.983 0.234 O
0.124 0.750 0.217 O
0.141 0.079 0.664 O
0.141 0.421 0.664 O
0.250 0.143 0.251 O
0.250 0.250 0.680 O
0.250 0.357 0.251 O
0.250 0.750 0.637 O
0.359 0.079 0.664 O
0.359 0.421 0.664 O
0.376 0.750 0.217 O
0.426 0.517 0.234 O
0.426 0.983 0.234 O
0.437 0.649 0.636 O
0.437 0.851 0.636 O
0.563 0.149 0.364 O
0.563 0.351 0.364 O
0.574 0.017 0.766 O
0.574 0.483 0.766 O
0.624 0.250 0.783 O
0.641 0.579 0.336 O
0.641 0.921 0.336 O
0.750 0.250 0.363 O
0.750 0.643 0.749 O
0.750 0.750 0.320 O
0.750 0.857 0.749 O
0.859 0.579 0.336 O
0.859 0.921 0.336 O
0.876 0.250 0.783 O
0.926 0.017 0.766 O
0.926 0.483 0.766 O
0.937 0.149 0.364 O
0.937 0.351 0.364 O
```

Calculated values
Uncorrected formation energy in meV/atom: -2004

=====

[10]
First-principles (PBE) data for a geometry-optimized KUAsO6 structure, as listed in the Alexandria database.

```
KUAsO6
1.0
5.371 0.000 0.000
-2.685 4.651 0.000
0.000 0.000 11.900
K U As O
2 2 2 12
Direct
0.000 0.000 0.000 K
0.000 0.000 0.500 K
0.333 0.667 0.250 U
0.667 0.333 0.750 U
0.333 0.667 0.750 As
0.667 0.333 0.250 As
0.033 0.394 0.661 O
0.033 0.639 0.839 O
0.361 0.394 0.839 O
0.361 0.967 0.661 O
0.394 0.033 0.161 O
0.394 0.361 0.339 O
0.606 0.639 0.661 O
0.606 0.967 0.839 O
0.639 0.033 0.339 O
0.639 0.606 0.161 O
0.967 0.361 0.161 O
0.967 0.606 0.339 O
```

Calculated values
Uncorrected formation energy in meV/atom: -2092

=====

[11]
First-principles (PBE) data for a geometry-optimized KUAs2O8 structure, as listed in the Alexandria database.

```
KUAs2O8
1.0
5.720 0.000 0.000
-2.860 4.954 0.000
0.000 0.000 7.933
K U As O
1 1 2 8
Direct
0.000 0.000 0.000 K
0.000 0.000 0.500 U
0.333 0.667 0.249 As
0.667 0.333 0.751 As
0.172 0.345 0.338 O
0.172 0.828 0.338 O
0.333 0.667 0.040 O
0.345 0.172 0.662 O
0.655 0.828 0.338 O
0.667 0.333 0.960 O
0.828 0.172 0.662 O
0.828 0.655 0.662 O
```

Calculated values
Uncorrected formation energy in meV/atom: -1919